Record 1
{
  "formula": "KGdTa",
  "functional": "PBE",
  "state": "optimized geometry",
  "total_magnetization_mub_per_atom": 0.3916,
  "total_energy_ev_per_cell": -10.89,
  "cell": [[0.000, 3.617, 3.617], [3.617, 0.000, 3.617], [3.617, 3.617, 0.000]],
  "species": ["K", "Gd", "Ta"],
  "fractional_positions": [[0.000, 0.000, 0.000], [0.750, 0.750, 0.750], [0.250, 0.250, 0.250]]
}



Record 2
{
  "formula": "ErTm2Al3AgPt2",
  "functional": "PBE",
  "state": "optimized geometry",
  "total_magnetization_mub_per_atom": 0.0004,
  "total_energy_ev_per_cell": -47.70,
  "cell": [[3.865, 0.000, 0.000], [0.000, 6.336, 3.653], [0.000, -6.336, 3.653]],
  "species": ["Er", "Tm", "Tm", "Al", "Al", "Al", "Ag", "Pt", "Pt"],
  "fractional_positions": [[0.000, 0.000, 0.000], [0.000, 0.413, 0.827], [0.000, 0.827, 0.413], [0.500, 0.153, 0.414], [0.500, 0.414, 0.153], [0.500, 0.674, 0.674], [0.000, 0.414, 0.414], [0.500, 0.080, 0.746], [0.500, 0.746, 0.080]]
}



Record 3
{
  "formula": "Tm3Fe2Ge4",
  "functional": "PBE",
  "state": "optimized geometry",
  "total_magnetization_mub_per_atom": 0.0010,
  "total_energy_ev_per_cell": -54.17,
  "cell": [[5.205, -2.100, 0.000], [5.205, 2.100, 0.000], [-2.518, 0.000, 7.508]],
  "species": ["Tm", "Tm", "Tm", "Fe", "Fe", "Ge", "Ge", "Ge", "Ge"],
  "fractional_positions": [[0.000, 0.000, 0.000], [0.377, 0.377, 0.307], [0.623, 0.623, 0.693], [0.317, 0.317, 0.636], [0.683, 0.683, 0.364], [0.099, 0.099, 0.403], [0.288, 0.288, 0.917], [0.712, 0.712, 0.083], [0.901, 0.901, 0.597]]
}